Record 1
Sr7Cd2Hg2: relaxed, PBE-GGA.

Cell: 7.728 8.302 7.728 Å, 90.00 110.41 90.00°
Atoms (fractional coordinates):
Sr1 0.000 0.274 0.500
Sr2 0.500 0.726 0.000
Sr3 0.000 0.726 0.500
Sr4 0.500 0.274 0.000
Sr5 0.000 0.000 0.000
Sr6 0.500 0.747 0.500
Sr7 0.500 0.253 0.500
Cd1 0.833 0.500 0.833
Cd2 0.167 0.500 0.167
Hg1 0.709 0.000 0.291
Hg2 0.291 0.000 0.709

Values from the calculation:
Calculated formation energy = -0.1927 eV/atom
V = 42.2 Å³/atom
Space-group type = Cmmm (65)

=====

Record 2
Ce2Nd4N: relaxed, PBE-GGA.

Cell: 4.952 4.952 9.419 Å, 74.76 74.76 90.00°
Last column: magnetic moment on the atom in μB.
Atoms (fractional coordinates):
Nd1 0.860 0.860 0.280  0.09
Nd2 0.140 0.140 0.720  0.09
Nd3 0.000 0.500 0.000  -0.01
Nd4 0.500 0.000 0.000  -0.01
Ce1 0.321 0.321 0.357  0.93
Ce2 0.679 0.679 0.643  0.93
N1 0.000 0.000 0.000  0.01

Values from the calculation:
V = 30.6 Å³/atom
Space-group type = I4/mmm (139)

=====

Record 3
TlCdI3: relaxed, PBE-GGA.

Cell: 5.511 9.148 9.143 Å, 74.78 90.40 90.41°
Atoms (fractional coordinates):
Tl1 0.914 0.170 0.609
Tl2 0.570 0.735 0.173
Cd1 0.743 0.634 0.710
Cd2 0.742 0.271 0.073
I1 0.482 0.344 0.783
I2 0.002 0.560 0.999
I3 0.481 0.284 0.327
I4 0.482 0.888 0.724
I5 0.003 0.016 0.059
I6 0.003 0.620 0.455

Values from the calculation:
V = 44.5 Å³/atom
Space-group type = P1 (1)

=====

Record 4
ZrV2Fe2: relaxed, PBE-GGA.

Cell: 3.890 3.890 10.048 Å, 101.16 101.16 90.00°
Atoms (fractional coordinates):
Zr1 0.628 0.628 0.257
Zr2 0.372 0.372 0.743
V1 0.000 0.500 0.000
V2 0.186 0.186 0.373
V3 0.500 0.000 0.000
V4 0.814 0.814 0.627
Fe1 0.750 0.250 0.500
Fe2 0.931 0.931 0.863
Fe3 0.069 0.069 0.137
Fe4 0.250 0.750 0.500

Values from the calculation:
Calculated formation energy = -0.0139 eV/atom
V = 14.6 Å³/atom
Space-group type = I4/mmm (139)

=====

Record 5
CaReNi: relaxed, PBE-GGA.

Cell: 5.860 5.860 5.860 Å, 153.15 142.86 46.42°
Atoms (fractional coordinates):
Re1 0.711 0.711 0.000
Ca1 0.996 0.996 0.000
Ni1 0.292 0.292 0.000

Values from the calculation:
Calculated formation energy = 0.3643 eV/atom
V = 18.2 Å³/atom
Space-group type = Imm2 (44)

=====

Record 6
UFe3Si3: relaxed, PBE-GGA.

Cell: 6.237 6.237 6.237 Å, 90.00 90.00 90.00°
Last column: magnetic moment on the atom in μB.
Atoms (fractional coordinates):
Si1 0.000 0.250 0.500  -0.06
Si2 0.000 0.750 0.500  -0.06
Si3 0.500 0.000 0.750  -0.06
Si4 0.750 0.500 0.000  -0.06
Si5 0.500 0.000 0.250  -0.06
Si6 0.250 0.500 0.000  -0.06
U1 0.500 0.500 0.500  2.53
U2 0.000 0.000 0.000  2.53
Fe1 0.250 0.000 0.500  1.56
Fe2 0.000 0.500 0.250  1.56
Fe3 0.500 0.750 0.000  1.56
Fe4 0.750 0.000 0.500  1.56
Fe5 0.000 0.500 0.750  1.56
Fe6 0.500 0.250 0.000  1.56

Values from the calculation:
V = 17.3 Å³/atom
Space-group type = Pm-3n (223)

=====

Record 7
BaAc4In4: relaxed, PBE-GGA.

Cell: 6.457 10.243 10.243 Å, 90.00 90.00 90.00°
Atoms (fractional coordinates):
Ba1 0.000 0.000 0.000
Ba2 0.500 0.500 0.500
Ac1 0.370 0.416 0.841
Ac2 0.870 0.659 0.916
Ac3 0.370 0.584 0.159
Ac4 0.130 0.084 0.659
Ac5 0.630 0.841 0.584
Ac6 0.130 0.916 0.341
Ac7 0.870 0.341 0.084
Ac8 0.630 0.159 0.416
In1 0.620 0.880 0.217
In2 0.620 0.120 0.783
In3 0.120 0.717 0.620
In4 0.880 0.380 0.717
In5 0.880 0.620 0.283
In6 0.380 0.217 0.120
In7 0.380 0.783 0.880
In8 0.120 0.283 0.380

Values from the calculation:
Calculated formation energy = -0.2057 eV/atom
V = 37.6 Å³/atom
Space-group type = P4_2/n (86)

=====

Record 8
AcPr2NdEr4: relaxed, PBE-GGA.

Cell: 9.673 9.673 12.036 Å, 128.47 128.47 88.30°
Atoms (fractional coordinates):
Ac1 0.000 0.500 0.000
Ac2 0.000 0.500 0.500
Pr1 0.500 0.000 0.000
Pr2 0.500 0.000 0.500
Pr3 0.000 0.000 0.500
Pr4 0.500 0.500 0.000
Nd1 0.500 0.500 0.500
Nd2 0.000 0.000 0.000
Er1 0.261 0.763 0.012
Er2 0.737 0.239 0.488
Er3 0.263 0.761 0.512
Er4 0.739 0.237 0.988
Er5 0.742 0.758 0.999
Er6 0.742 0.758 0.501
Er7 0.258 0.242 0.499
Er8 0.258 0.242 0.001

Values from the calculation:
Calculated formation energy = 0.4161 eV/atom
V = 35.1 Å³/atom
Space-group type = Imma (74)

=====

no.,final energy (eV per cell)
1,-16.3
2,-39.9
3,-21.8
4,-87.6
5,-19.1
6,-102.1
7,-62.3
8,-66.7